No. 1
A geometry-optimized Y2Hg4Pb structure. Source: Alexandria, functional PBE. Values from VASP.

SG: R-3m (166)
DOS at the Fermi energy (states/eV per cell): 3.82
Formation energy from the elements (eV per atom): -0.32

Structure (Quantum ESPRESSO input):
```
&SYSTEM
  ibrav = 0, nat = 7, ntyp = 3
/
ATOMIC_SPECIES
Y 88.91 Y.upf
Hg 200.59 Hg.upf
Pb 207.20 Pb.upf
CELL_PARAMETERS angstrom
2.581 1.490 7.835
-2.581 1.490 7.835
0.000 -2.980 7.835
ATOMIC_POSITIONS crystal
Y 0.224 0.224 0.224
Y 0.776 0.776 0.776
Hg 0.071 0.071 0.071
Hg 0.360 0.360 0.360
Hg 0.640 0.640 0.640
Hg 0.929 0.929 0.929
Pb 0.500 0.500 0.500
```



No. 2
A geometry-optimized Nb2VZn structure. Source: Alexandria, functional PBE. Values from VASP.

SG: R-3m (166)
DOS at the Fermi energy (states/eV per cell): 3.80
Formation energy from the elements (eV per atom): 0.24

Structure (Quantum ESPRESSO input):
```
&SYSTEM
  ibrav = 0, nat = 4, ntyp = 3
/
ATOMIC_SPECIES
Nb 92.91 Nb.upf
V 50.94 V.upf
Zn 65.41 Zn.upf
CELL_PARAMETERS angstrom
1.523 0.880 8.461
-1.523 0.880 8.461
0.000 -1.759 8.461
ATOMIC_POSITIONS crystal
Nb 0.245 0.245 0.245
Nb 0.755 0.755 0.755
V 0.500 0.500 0.500
Zn 0.000 0.000 0.000
```



No. 3
A geometry-optimized CeAlSn2Pd4 structure. Source: Alexandria, functional PBE. Values from VASP.

SG: R-3m (166)
DOS at the Fermi energy (states/eV per cell): 7.89
Formation energy from the elements (eV per atom): -0.70

Structure (Quantum ESPRESSO input):
```
&SYSTEM
  ibrav = 0, nat = 8, ntyp = 4
/
ATOMIC_SPECIES
Ce 140.12 Ce.upf
Al 26.98 Al.upf
Sn 118.71 Sn.upf
Pd 106.42 Pd.upf
CELL_PARAMETERS angstrom
2.272 1.312 8.605
-2.272 1.312 8.605
0.000 -2.623 8.605
ATOMIC_POSITIONS crystal
Ce 0.000 0.000 0.000
Al 0.500 0.500 0.500
Sn 0.248 0.248 0.248
Sn 0.752 0.752 0.752
Pd 0.139 0.139 0.139
Pd 0.402 0.402 0.402
Pd 0.598 0.598 0.598
Pd 0.861 0.861 0.861
```



No. 4
A geometry-optimized HfSc2ZnRh4 structure. Source: Alexandria, functional PBE. Values from VASP.

SG: R-3m (166)
DOS at the Fermi energy (states/eV per cell): 1.75
Formation energy from the elements (eV per atom): -0.93

Structure (Quantum ESPRESSO input):
```
&SYSTEM
  ibrav = 0, nat = 8, ntyp = 4
/
ATOMIC_SPECIES
Hf 178.49 Hf.upf
Sc 44.96 Sc.upf
Zn 65.41 Zn.upf
Rh 102.91 Rh.upf
CELL_PARAMETERS angstrom
2.256 1.302 7.335
-2.256 1.302 7.335
0.000 -2.605 7.335
ATOMIC_POSITIONS crystal
Hf 0.000 0.000 0.000
Sc 0.243 0.243 0.243
Sc 0.757 0.757 0.757
Zn 0.500 0.500 0.500
Rh 0.122 0.122 0.122
Rh 0.374 0.374 0.374
Rh 0.626 0.626 0.626
Rh 0.878 0.878 0.878
```



No. 5
A geometry-optimized La2Sm2Y2Ho structure. Source: Alexandria, functional PBE. Values from VASP.

SG: C2/m (12)
DOS at the Fermi energy (states/eV per cell): 11.41
Formation energy from the elements (eV per atom): 0.03

Structure (Quantum ESPRESSO input):
```
&SYSTEM
  ibrav = 0, nat = 7, ntyp = 4
/
ATOMIC_SPECIES
La 138.91 La.upf
Sm 150.36 Sm.upf
Y 88.91 Y.upf
Ho 164.93 Ho.upf
CELL_PARAMETERS angstrom
5.753 -2.578 0.000
5.753 2.578 0.000
-1.182 0.000 8.013
ATOMIC_POSITIONS crystal
La 0.142 0.142 0.426
La 0.858 0.858 0.574
Sm 0.430 0.430 0.282
Sm 0.570 0.570 0.718
Y 0.285 0.285 0.862
Y 0.715 0.715 0.138
Ho 0.000 0.000 0.000
```



No. 6
A geometry-optimized LiCd2In3Hg6 structure. Source: Alexandria, functional PBE. Values from VASP.

SG: C2/m (12)
DOS at the Fermi energy (states/eV per cell): 3.36
Formation energy from the elements (eV per atom): -0.05

Structure (Quantum ESPRESSO input):
```
&SYSTEM
  ibrav = 0, nat = 12, ntyp = 4
/
ATOMIC_SPECIES
Li 6.94 Li.upf
Cd 112.41 Cd.upf
In 114.82 In.upf
Hg 200.59 Hg.upf
CELL_PARAMETERS angstrom
3.012 -5.213 0.000
3.012 5.213 0.000
-1.989 0.000 9.386
ATOMIC_POSITIONS crystal
Li 0.000 0.000 0.000
Cd 0.339 0.661 0.000
Cd 0.661 0.339 0.000
In 0.172 0.828 0.500
In 0.500 0.500 0.500
In 0.828 0.172 0.500
Hg 0.073 0.391 0.234
Hg 0.237 0.237 0.757
Hg 0.391 0.073 0.234
Hg 0.609 0.927 0.766
Hg 0.763 0.763 0.243
Hg 0.927 0.609 0.766
```



Question: What is the DOS at the Fermi energy in the second record?
Answer: 3.80 states/eV per cell



Question: The highest DOS at the Fermi energy belongs to which entry?
Answer: La2Sm2Y2Ho



Question: Which of these has the lowest formation energy from the elements?
Answer: HfSc2ZnRh4



Question: What is the DOS at the Fermi energy in the fourth record?
Answer: 1.75 states/eV per cell